Below is a relaxed In2B2W crystal, with properties calculated at the PBE-GGA level.

CIF file:
```
data_In2B2W
_symmetry_space_group_name_H-M 'P 1'
_symmetry_Int_Tables_number 1
_cell_length_a 7.150
_cell_length_b 7.150
_cell_length_c 3.040
_cell_angle_alpha 90.00
_cell_angle_beta 90.00
_cell_angle_gamma 90.00
loop_
_symmetry_equiv_pos_as_xyz
'x,y,z'
loop_
_atom_site_label
_atom_site_fract_x
_atom_site_fract_y
_atom_site_fract_z
_atom_site_occupancy
In1 0.637 0.137 0.000 1
In2 0.863 0.637 0.000 1
B1 0.171 0.671 0.500 1
In3 0.137 0.363 0.000 1
B2 0.829 0.329 0.500 1
In4 0.363 0.863 0.000 1
W1 0.500 0.500 0.000 1
B3 0.329 0.171 0.500 1
B4 0.671 0.829 0.500 1
W2 0.000 0.000 0.000 1
```

Calculated values
Energy   -4.69 eV per atom
Energy above the most stable polymorph in this dataset   886 meV per atom
Energy relative to the elements   1.66 eV/atom